24
Lattice="-0.491 -0.943 6.698 -4.861 -6.930 -4.053 11.372 -7.820 -0.268" Properties=species:S:1:pos:R:3 comment="GGA-PBEsol K2ZrTe3, relaxed" space_group="P2_1/c (14)" raw_formation_energy_ev_per_atom=-1.00 crystal_system=monoclinic pbc="T T T"
K -1.586 -3.428 3.051
K 2.625 -9.480 2.787
K 7.606 -12.265 -0.673
K 3.395 -6.213 -0.410
K 1.122 -1.793 -0.015
K 2.655 -11.716 -0.898
K 4.898 -13.900 2.392
K 3.365 -3.976 3.276
Zr -0.892 -7.455 1.560
Zr 6.679 -8.718 4.167
Zr 6.912 -8.238 0.818
Zr -0.659 -6.975 -1.789
Te -3.088 -6.542 3.165
Te 4.990 -6.960 2.653
Te 9.108 -9.151 -0.787
Te 1.030 -8.733 -0.275
Te -0.180 -4.969 0.171
Te 5.148 -9.360 -1.112
Te 6.200 -10.724 2.206
Te 0.872 -6.332 3.490
Te -3.023 -7.876 -0.434
Te 6.865 -5.679 -0.480
Te 9.043 -7.817 2.812
Te -0.844 -10.014 2.858


4
Lattice="4.374 0.000 0.000 0.000 4.374 0.000 -2.187 -2.187 5.533" Properties=species:S:1:pos:R:3 comment="GGA-PBEsol KZrTe2, relaxed" n_ef_per_ev_cell=3.00 space_group="I-4m2 (119)" raw_formation_energy_ev_per_atom=-0.27 crystal_system=tetragonal pbc="T T T"
K 0.000 2.187 2.766
Te 0.000 0.000 0.000
Te 2.187 0.000 2.766
Zr 2.187 2.187 0.000


4
Lattice="-0.181 -1.511 3.032 -1.809 -2.846 0.372 9.361 -8.185 -1.622" Properties=species:S:1:pos:R:3 comment="GGA-PBEsol K2ZrTe, relaxed" n_ef_per_ev_cell=4.58 space_group="R-3m (166)" raw_formation_energy_ev_per_atom=0.30 crystal_system=trigonal pbc="T T T"
K 2.057 -3.280 0.387
K 5.314 -9.262 1.396
Te 3.686 -6.271 0.891
Zr 0.000 0.000 0.000


29
Lattice="7.757 0.006 -0.007 -0.009 11.000 -0.011 -3.865 -5.493 9.537" Properties=species:S:1:pos:R:3 comment="GGA-PBEsol KZr12Te16, relaxed" n_ef_per_ev_cell=12.04 space_group="P-1 (2)" raw_formation_energy_ev_per_atom=-1.00 crystal_system=triclinic pbc="T T T"
K 3.879 0.003 -0.004
Te 2.920 -3.287 6.800
Te -0.969 -3.287 6.794
Te 2.919 2.044 8.980
Te -0.972 2.037 8.985
Te 2.902 1.275 3.278
Te -0.965 1.266 3.273
Te 4.852 8.800 2.725
Te 0.963 8.800 2.719
Te 4.855 3.476 0.534
Te 0.964 3.469 0.539
Te 4.848 4.247 6.246
Te 0.981 4.238 6.241
Te 4.857 0.004 6.343
Te 0.976 0.011 6.354
Te 2.907 5.502 3.165
Te -0.974 5.509 3.176
Zr -0.953 -1.333 4.683
Zr 2.906 -1.336 4.681
Zr -0.964 -0.766 8.353
Zr 2.925 -0.765 8.342
Zr -0.973 2.122 6.023
Zr 2.923 2.120 6.026
Zr 0.977 6.849 4.838
Zr 4.836 6.846 4.836
Zr 0.958 6.278 1.178
Zr 4.847 6.280 1.166
Zr 0.960 3.393 3.494
Zr 4.856 3.391 3.497


4
Lattice="5.290 0.000 0.000 2.645 4.581 0.000 2.645 1.527 4.319" Properties=species:S:1:pos:R:3 comment="GGA-PBEsol KZrTe2, relaxed" n_ef_per_ev_cell=3.35 space_group="F-43m (216)" raw_formation_energy_ev_per_atom=0.15 crystal_system=cubic pbc="T T T"
K 5.290 3.054 2.160
Te 0.000 0.000 0.000
Te 7.935 4.581 3.240
Zr 2.645 1.527 1.080


4
Lattice="-2.760 1.635 -1.719 -2.038 -1.873 -2.364 -8.366 -2.965 6.759" Properties=species:S:1:pos:R:3 comment="GGA-PBEsol KZrTe2, relaxed" n_ef_per_ev_cell=3.05 space_group="R3m (160)" raw_formation_energy_ev_per_atom=-0.04 crystal_system=trigonal pbc="T T T"
K -3.190 -0.758 0.548
Te -8.283 -2.929 6.660
Te -9.689 -2.324 1.787
Zr -6.949 -1.758 1.779


4
Lattice="6.380 0.000 0.000 0.000 6.380 0.000 -3.190 -3.190 4.665" Properties=species:S:1:pos:R:3 comment="GGA-PBEsol K3Ti, relaxed" n_ef_per_ev_cell=8.34 space_group="I4/mmm (139)" delta_e_f_ev_per_atom=0.921 crystal_system=tetragonal pbc="T T T"
K 0.000 3.190 2.332
K 3.190 0.000 2.332
K 3.190 3.190 0.000
Ti 0.000 0.000 0.000


5
Lattice="-1.927 -2.114 4.453 4.892 -1.402 1.452 0.600 4.645 2.465" Properties=species:S:1:pos:R:3 comment="GGA-PBEsol KTi3Tl, relaxed" n_ef_per_ev_cell=8.99 space_group="Pm-3m (221)" delta_e_f_ev_per_atom=1.312 crystal_system=cubic pbc="T T T"
Tl 0.000 0.000 0.000
K 1.783 0.564 4.184
Ti 2.446 -0.701 0.726
Ti 0.300 2.322 1.232
Ti -0.964 -1.057 2.226


5
Lattice="6.301 0.000 0.000 0.000 6.301 0.000 0.000 0.000 6.301" Properties=species:S:1:pos:R:3 comment="GGA-PBEsol K3YTi, relaxed" n_ef_per_ev_cell=5.93 de_polymorph_kj_per_mol_atoms=0.00 space_group="Pm-3m (221)" delta_e_f_ev_per_atom=1.402 crystal_system=cubic pbc="T T T"
Y 3.150 3.150 3.150
K 0.000 3.150 0.000
K 0.000 0.000 3.150
K 3.150 0.000 0.000
Ti 0.000 0.000 0.000


5
Lattice="6.666 0.000 0.000 0.000 6.666 0.000 0.000 0.000 6.666" Properties=species:S:1:pos:R:3 comment="GGA-PBEsol K3YTi, relaxed" n_ef_per_ev_cell=10.17 de_polymorph_kj_per_mol_atoms=26.94 space_group="Pm-3m (221)" delta_e_f_ev_per_atom=1.681 crystal_system=cubic pbc="T T T"
Y 0.000 0.000 0.000
K 0.000 3.333 0.000
K 0.000 0.000 3.333
K 3.333 0.000 0.000
Ti 3.333 3.333 3.333


4
Lattice="-1.945 -3.517 2.748 2.856 -2.714 2.860 -0.200 0.520 4.836" Properties=species:S:1:pos:R:3 comment="GGA-PBEsol KTiZn2, relaxed" n_ef_per_ev_cell=3.17 space_group="Fm-3m (225)" delta_e_f_ev_per_atom=0.650 crystal_system=cubic pbc="T T T"
Zn 0.178 -1.428 2.611
Zn 0.534 -4.283 7.833
K 0.000 0.000 0.000
Ti 0.356 -2.855 5.222


4
Lattice="-3.361 -2.689 -3.617 -4.396 -2.943 1.903 -5.229 1.862 -0.895" Properties=species:S:1:pos:R:3 comment="GGA-PBEsol K2ZrTi, relaxed" n_ef_per_ev_cell=6.02 space_group="Fm-3m (225)" delta_e_f_ev_per_atom=1.710 crystal_system=cubic pbc="T T T"
K -3.246 -0.943 -0.652
K -9.739 -2.828 -1.957
Zr -6.493 -1.885 -1.305
Ti 0.000 0.000 0.000


4
Lattice="3.526 0.000 0.000 0.000 6.022 0.000 0.000 0.000 6.640" Properties=species:S:1:pos:R:3 comment="GGA-PBEsol KTl, relaxed" n_ef_per_ev_cell=2.18 space_group="Pmmn (59)" delta_e_f_ev_per_atom=0.041 crystal_system=orthorhombic pbc="T T T"
K 0.000 0.000 4.224
K 1.763 3.011 2.416
Tl 1.763 0.000 0.717
Tl 0.000 3.011 5.922


6
Lattice="4.947 0.000 0.000 0.000 4.911 0.000 -2.473 0.000 7.140" Properties=species:S:1:pos:R:3 comment="GGA-PBEsol KTl5, relaxed" n_ef_per_ev_cell=3.21 de_polymorph_kj_per_mol_atoms=0.00 space_group="Cmmm (65)" delta_e_f_ev_per_atom=-0.050 crystal_system=orthorhombic pbc="T T T"
K 2.473 0.000 0.000
Tl 0.000 2.455 4.674
Tl 0.000 0.000 2.478
Tl 0.000 2.455 0.000
Tl 2.473 0.000 4.662
Tl 2.473 2.455 2.466


7
Lattice="6.762 0.000 0.000 -3.381 5.856 0.000 0.000 0.000 6.895" Properties=species:S:1:pos:R:3 comment="GGA-PBEsol K4Tl3, relaxed" n_ef_per_ev_cell=4.30 space_group="P6/mmm (191)" delta_e_f_ev_per_atom=-0.024 crystal_system=hexagonal pbc="T T T"
K 0.000 0.000 5.284
K 0.000 0.000 1.611
K 0.000 3.904 3.448
K 3.381 1.952 3.448
Tl -1.691 2.928 0.000
Tl 3.381 0.000 0.000
Tl 1.691 2.928 0.000


29
Lattice="-10.368 -3.504 -2.631 5.263 -7.981 5.942 -0.665 9.417 6.130" Properties=species:S:1:pos:R:3 comment="GGA-PBEsol K17Tl12, relaxed" n_ef_per_ev_cell=25.33 space_group="I-43m (217)" delta_e_f_ev_per_atom=-0.049 crystal_system=cubic pbc="T T T"
K 3.386 -1.561 6.748
K 1.774 3.172 6.799
K -6.155 -2.116 1.741
K -0.177 -0.128 6.225
K -2.030 3.376 5.465
K -3.116 -4.041 3.571
K -4.991 -5.835 0.691
K -0.738 -7.053 3.024
K -7.510 1.560 0.771
K -4.870 5.075 3.155
K -4.911 1.228 3.628
K 0.489 -4.019 5.385
K -0.448 6.348 4.133
K 3.548 -5.380 4.005
K -6.989 -2.362 -1.774
K -1.880 -0.674 3.077
K 0.000 0.000 0.000
Tl 0.670 2.075 3.286
Tl 1.819 -1.298 3.249
Tl 1.789 0.507 9.464
Tl -5.450 -1.917 5.513
Tl -4.347 -7.664 3.924
Tl -3.765 0.328 7.035
Tl 0.133 -3.543 1.727
Tl -2.897 -2.675 0.065
Tl -2.046 2.853 1.796
Tl -3.927 0.348 0.098
Tl -2.735 -2.695 7.002
Tl -8.096 3.338 4.043


20
Lattice="-4.109 0.845 -8.487 6.395 -6.976 -0.271 -6.580 -2.001 6.506" Properties=species:S:1:pos:R:3 comment="GGA-PBEsol KTl4, relaxed" n_ef_per_ev_cell=9.91 space_group="I-43m (217)" delta_e_f_ev_per_atom=-0.001 crystal_system=cubic pbc="T T T"
K -2.340 0.481 -4.833
K 3.642 -3.973 -0.154
K -1.849 -3.501 -0.969
K -3.747 -1.140 3.705
Tl -0.876 0.180 -1.810
Tl 1.364 -1.488 -0.058
Tl -3.378 -6.397 -1.771
Tl -1.403 -0.427 1.388
Tl -3.728 -0.403 -0.691
Tl -6.960 -0.753 -1.290
Tl -0.120 -5.846 4.061
Tl -0.064 -3.131 2.175
Tl 0.797 -2.138 -3.055
Tl 1.489 -3.992 -5.703
Tl -2.765 -4.778 2.623
Tl -1.529 -3.354 -4.874
Tl -5.391 -2.822 0.568
Tl 1.097 -5.309 -2.820
Tl -4.773 -2.111 -3.180
Tl 0.479 -6.021 0.928


8
Lattice="-4.909 1.270 1.557 1.307 -5.084 -0.766 3.457 -0.860 11.599" Properties=species:S:1:pos:R:3 comment="GGA-PBEsol KTl, relaxed" n_ef_per_ev_cell=1.98 space_group="P6_3/mmc (194)" delta_e_f_ev_per_atom=-0.087 crystal_system=hexagonal pbc="T T T"
K 2.387 -3.749 10.581
K -1.414 -1.201 5.556
K -2.531 -0.924 1.809
K 1.270 -3.471 6.834
Tl 2.593 -0.645 8.699
Tl 0.864 -0.215 2.900
Tl 0.100 -3.180 2.908
Tl -0.244 -1.492 9.482


4
Lattice="4.012 0.000 0.000 0.000 4.012 0.000 0.000 0.000 9.696" Properties=species:S:1:pos:R:3 comment="GGA-PBEsol KTl, relaxed" n_ef_per_ev_cell=1.82 space_group="P4/nmm (129)" delta_e_f_ev_per_atom=-0.073 crystal_system=tetragonal pbc="T T T"
Tl 2.006 0.000 4.023
Tl 0.000 2.006 5.673
K 2.006 0.000 7.841
K 0.000 2.006 1.856


6
Lattice="3.967 0.000 0.000 0.000 3.967 0.000 0.000 0.000 11.449" Properties=species:S:1:pos:R:3 comment="GGA-PBEsol KTl5, relaxed" n_ef_per_ev_cell=3.02 de_polymorph_kj_per_mol_atoms=1.25 space_group="P4/mmm (123)" delta_e_f_ev_per_atom=-0.037 crystal_system=tetragonal pbc="T T T"
K 1.983 1.983 0.000
Tl 0.000 0.000 9.163
Tl 0.000 0.000 2.286
Tl 1.983 1.983 7.472
Tl 1.983 1.983 3.977
Tl 0.000 0.000 5.724


9
Lattice="5.311 0.000 0.000 2.655 10.003 0.000 2.655 0.000 10.003" Properties=species:S:1:pos:R:3 comment="GGA-PBEsol K8Tl, relaxed" n_ef_per_ev_cell=5.55 space_group="I4/mmm (139)" delta_e_f_ev_per_atom=0.020 crystal_system=tetragonal pbc="T T T"
K 2.655 0.000 2.906
K 5.311 0.000 7.097
K 5.311 3.259 3.259
K 2.655 2.906 0.000
K 2.655 3.259 6.744
K 5.311 7.097 0.000
K 5.311 6.744 6.744
K 2.655 6.744 3.259
Tl 0.000 0.000 0.000


5
Lattice="-4.456 -0.450 -2.575 0.100 -3.622 -4.721 -3.622 -4.347 1.845" Properties=species:S:1:pos:R:3 comment="GGA-PBEsol KTl4, relaxed" n_ef_per_ev_cell=2.96 space_group="I4/m (87)" delta_e_f_ev_per_atom=-0.044 crystal_system=tetragonal pbc="T T T"
Tl -4.791 -3.864 -1.399
Tl -6.273 -5.980 -3.646
Tl -3.186 -4.555 -4.054
Tl -1.704 -2.440 -1.806
K 0.000 0.000 0.000


4
Lattice="4.101 0.000 0.000 0.000 5.325 0.000 -2.051 0.000 6.894" Properties=species:S:1:pos:R:3 comment="GGA-PBEsol KTl, relaxed" n_ef_per_ev_cell=2.44 space_group="Cmcm (63)" delta_e_f_ev_per_atom=-0.049 crystal_system=orthorhombic pbc="T T T"
Tl 0.000 3.994 0.749
Tl 2.051 1.331 6.144
K 0.000 3.994 4.677
K 2.051 1.331 2.216


4
Lattice="3.665 0.000 0.000 0.000 5.495 0.000 0.000 0.000 6.912" Properties=species:S:1:pos:R:3 comment="GGA-PBEsol KTl, relaxed" n_ef_per_ev_cell=3.23 space_group="Pmma (51)" delta_e_f_ev_per_atom=-0.028 crystal_system=orthorhombic pbc="T T T"
Tl 1.833 1.374 6.085
Tl 1.833 4.121 0.827
K 0.000 1.374 2.265
K 0.000 4.121 4.647


Going through the records in order, we get calculated volume values of 35.07, 26.46, 30.87, 28.03, 26.17, 31.43, 47.47, 29.64, 50.03, 59.25, 20.39, 31.41, 35.25, 28.91, 39.01, 37.86, 32.66, 36.96, 39.03, 30.03, 59.04, 29.70, 37.64, 34.80 A^3/atom.